Sc2CuTe, optimized geometry, DFT PBE; M_tot = 0.0 μB per formula unit; total DFT energy (no corrections) = -5.31 eV/atom
1.0
-3.678 3.678 3.331
3.678 -3.678 3.331
3.678 3.678 -3.331
Sc Cu Te
4 2 2
direct
0.091 0.625 0.966
0.375 0.341 0.466
0.659 0.125 0.034
0.875 0.909 0.534
0.000 0.000 0.000
0.750 0.250 0.500
0.250 0.750 0.500
0.500 0.500 0.000